#w
Compound: KSiCl2
Source: Alexandria
Functional: PBE-GGA
Structure: relaxed

Structure (CIF):
```
data_KSiCl2
_symmetry_space_group_name_H-M 'I -4 2 d'
_symmetry_Int_Tables_number 122
_symmetry_space_group_name_Hall 'I -4 2bw'
_cell_length_a 5.869
_cell_length_b 5.869
_cell_length_c 16.081
_cell_angle_alpha 90.00
_cell_angle_beta 90.00
_cell_angle_gamma 90.00
loop_
_atom_site_label
_atom_site_fract_x
_atom_site_fract_y
_atom_site_fract_z
_atom_site_occupancy
K1 0.000 0.000 0.000 1
Si1 0.000 0.000 0.500 1
Cl1 0.177 0.250 0.625 1
```

Values from the calculation:
**Magnetization**: 4.000 μB per cell

=====

#x
Compound: KSiCl2
Source: Alexandria
Functional: PBE-GGA
Structure: relaxed

Structure (CIF):
```
data_KSiCl2
_symmetry_space_group_name_H-M 'P m m m'
_symmetry_Int_Tables_number 47
_symmetry_space_group_name_Hall '-P 2 2'
_cell_length_a 3.647
_cell_length_b 3.895
_cell_length_c 7.326
_cell_angle_alpha 90.00
_cell_angle_beta 90.00
_cell_angle_gamma 90.00
loop_
_atom_site_label
_atom_site_fract_x
_atom_site_fract_y
_atom_site_fract_z
_atom_site_occupancy
K1 0.000 0.000 0.000 1
Si1 0.500 0.000 0.500 1
Cl1 0.500 0.500 0.248 1
```

Values from the calculation:
**Magnetization**: 0.002 μB per cell

=====

#y
Compound: KSiCl2
Source: Alexandria
Functional: PBE-GGA
Structure: relaxed

Structure (CIF):
```
data_KSiCl2
_symmetry_space_group_name_H-M 'R -3 m'
_symmetry_Int_Tables_number 166
_symmetry_space_group_name_Hall '-R 3 2"'
_cell_length_a 3.9632
_cell_length_b 3.9632
_cell_length_c 26.6872
_cell_angle_alpha 90.00
_cell_angle_beta 90.00
_cell_angle_gamma 120.00
loop_
_atom_site_label
_atom_site_fract_x
_atom_site_fract_y
_atom_site_fract_z
_atom_site_occupancy
K1 0.0000 0.0000 0.0000 1
Si1 0.0000 0.0000 0.5000 1
Cl1 0.0000 0.0000 0.4087 1
```

Values from the calculation:
**Magnetization**: 0.000 μB per cell

=====

#z
Compound: KSiCl2
Source: Alexandria
Functional: PBE-GGA
Structure: relaxed

Structure (CIF):
```
data_KSiCl2
_symmetry_space_group_name_H-M 'C 1 m 1'
_symmetry_Int_Tables_number 8
_symmetry_space_group_name_Hall 'C -2y'
_cell_length_a 11.387
_cell_length_b 5.201
_cell_length_c 3.756
_cell_angle_alpha 90.00
_cell_angle_beta 90.20
_cell_angle_gamma 90.00
loop_
_atom_site_label
_atom_site_fract_x
_atom_site_fract_y
_atom_site_fract_z
_atom_site_occupancy
K1 0.000 0.000 0.000 1
Si1 0.230 0.500 0.502 1
Cl1 0.032 0.500 0.500 1
Cl2 0.222 0.000 0.502 1
```

Values from the calculation:
**Magnetization**: 0.000 μB per cell

=====

Winner for stability: #z

=====

#w
Compound: KSiCl2
Source: Alexandria
Functional: PBE-GGA
Structure: relaxed

Structure (CIF):
```
data_KSiCl2
_symmetry_space_group_name_H-M 'P m m 2'
_symmetry_Int_Tables_number 25
_symmetry_space_group_name_Hall 'P 2 -2'
_cell_length_a 3.447
_cell_length_b 5.325
_cell_length_c 5.945
_cell_angle_alpha 90.00
_cell_angle_beta 90.00
_cell_angle_gamma 90.00
loop_
_atom_site_label
_atom_site_fract_x
_atom_site_fract_y
_atom_site_fract_z
_atom_site_occupancy
K1 0.000 0.000 0.000 1
Si1 0.500 0.500 0.501 1
Cl1 0.000 0.000 0.500 1
Cl2 0.500 0.500 0.881 1
```

Values from the calculation:
**Magnetization**: 0.000 μB per cell

=====

#x
Compound: KSiCl2
Source: Alexandria
Functional: PBE-GGA
Structure: relaxed

Structure (CIF):
```
data_KSiCl2
_symmetry_space_group_name_H-M 'F -4 3 m'
_symmetry_Int_Tables_number 216
_symmetry_space_group_name_Hall 'F -4 2 3'
_cell_length_a 7.483
_cell_length_b 7.483
_cell_length_c 7.483
_cell_angle_alpha 90.00
_cell_angle_beta 90.00
_cell_angle_gamma 90.00
loop_
_atom_site_label
_atom_site_fract_x
_atom_site_fract_y
_atom_site_fract_z
_atom_site_occupancy
K1 0.000 0.000 0.000 1
Si1 0.250 0.250 0.250 1
Cl1 0.000 0.000 0.500 1
Cl2 0.250 0.250 0.750 1
```

Values from the calculation:
**Magnetization**: 4.035 μB per cell

=====

#y
Compound: KSiCl2
Source: Alexandria
Functional: PBE-GGA
Structure: relaxed

Structure (CIF):
```
data_KSiCl2
_symmetry_space_group_name_H-M 'R -3 m'
_symmetry_Int_Tables_number 166
_symmetry_space_group_name_Hall '-R 3 2"'
_cell_length_a 4.3037
_cell_length_b 4.3037
_cell_length_c 25.5146
_cell_angle_alpha 90.00
_cell_angle_beta 90.00
_cell_angle_gamma 120.00
loop_
_atom_site_label
_atom_site_fract_x
_atom_site_fract_y
_atom_site_fract_z
_atom_site_occupancy
K1 0.0000 0.0000 0.0000 1
Si1 0.0000 0.0000 0.5000 1
Cl1 0.0000 0.0000 0.1182 1
```

Values from the calculation:
**Magnetization**: 0.000 μB per cell

=====

#z
Compound: KSiCl2
Source: Alexandria
Functional: PBE-GGA
Structure: relaxed

Structure (CIF):
```
data_KSiCl2
_symmetry_space_group_name_H-M 'P m m m'
_symmetry_Int_Tables_number 47
_symmetry_space_group_name_Hall '-P 2 2'
_cell_length_a 3.857
_cell_length_b 4.331
_cell_length_c 6.989
_cell_angle_alpha 90.00
_cell_angle_beta 90.00
_cell_angle_gamma 90.00
loop_
_atom_site_label
_atom_site_fract_x
_atom_site_fract_y
_atom_site_fract_z
_atom_site_occupancy
K1 0.000 0.000 0.000 1
Si1 0.000 0.500 0.500 1
Cl1 0.500 0.000 0.500 1
Cl2 0.500 0.500 0.000 1
```

Values from the calculation:
**Magnetization**: 0.973 μB per cell

=====

Winner for stability: #w

=====

#w
Compound: KSiCl2
Source: Alexandria
Functional: PBE-GGA
Structure: relaxed

Structure (CIF):
```
data_KSiCl2
_symmetry_space_group_name_H-M 'C 1 2/m 1'
_symmetry_Int_Tables_number 12
_symmetry_space_group_name_Hall '-C 2y'
_cell_length_a 8.101
_cell_length_b 8.059
_cell_length_c 3.454
_cell_angle_alpha 90.00
_cell_angle_beta 100.88
_cell_angle_gamma 90.00
loop_
_atom_site_label
_atom_site_fract_x
_atom_site_fract_y
_atom_site_fract_z
_atom_site_occupancy
K1 0.000 0.000 0.000 1
Si1 0.000 0.500 0.000 1
Cl1 0.250 0.250 0.000 1
```

Values from the calculation:
**Magnetization**: 0.000 μB per cell

=====

#x
Compound: KSiCl2
Source: Alexandria
Functional: PBE-GGA
Structure: relaxed

Structure (CIF):
```
data_KSiCl2
_symmetry_space_group_name_H-M 'P 4 m m'
_symmetry_Int_Tables_number 99
_symmetry_space_group_name_Hall 'P 4 -2'
_cell_length_a 4.343
_cell_length_b 4.343
_cell_length_c 6.080
_cell_angle_alpha 90.00
_cell_angle_beta 90.00
_cell_angle_gamma 90.00
loop_
_atom_site_label
_atom_site_fract_x
_atom_site_fract_y
_atom_site_fract_z
_atom_site_occupancy
K1 0.000 0.000 0.000 1
Si1 0.500 0.500 0.491 1
Cl1 0.000 0.000 0.495 1
Cl2 0.500 0.500 0.868 1
```

Values from the calculation:
**Magnetization**: 0.000 μB per cell

=====

Winner for stability: #x

=====

#w
Compound: KSiWCl2
Source: Alexandria
Functional: PBE-GGA
Structure: relaxed

Structure (CIF):
```
data_KSiWCl2
_symmetry_space_group_name_H-M 'P 4/m m m'
_symmetry_Int_Tables_number 123
_symmetry_space_group_name_Hall '-P 4 2'
_cell_length_a 5.344
_cell_length_b 5.344
_cell_length_c 5.867
_cell_angle_alpha 90.00
_cell_angle_beta 90.00
_cell_angle_gamma 90.00
loop_
_atom_site_label
_atom_site_fract_x
_atom_site_fract_y
_atom_site_fract_z
_atom_site_occupancy
K1 0.000 0.000 0.000 1
Si1 0.000 0.000 0.500 1
W1 0.500 0.500 0.500 1
Cl1 0.000 0.500 0.000 1
```

Values from the calculation:
**Magnetization**: 3.858 μB per cell

=====

#x
Compound: KSiWCl2
Source: Alexandria
Functional: PBE-GGA
Structure: relaxed

Structure (CIF):
```
data_KSiWCl2
_symmetry_space_group_name_H-M 'P 4/m m m'
_symmetry_Int_Tables_number 123
_symmetry_space_group_name_Hall '-P 4 2'
_cell_length_a 5.003
_cell_length_b 5.003
_cell_length_c 4.849
_cell_angle_alpha 90.00
_cell_angle_beta 90.00
_cell_angle_gamma 90.00
loop_
_atom_site_label
_atom_site_fract_x
_atom_site_fract_y
_atom_site_fract_z
_atom_site_occupancy
K1 0.000 0.000 0.000 1
Si1 0.500 0.500 0.000 1
W1 0.500 0.500 0.500 1
Cl1 0.000 0.500 0.500 1
```

Values from the calculation:
**Magnetization**: 0.003 μB per cell

=====

Winner for stability: #x

=====

#w
Compound: KSm2Cl7
Source: Alexandria
Functional: PBE-GGA
Structure: relaxed

Structure (CIF):
```
data_KSm2Cl7
_symmetry_space_group_name_H-M 'P 1 21/c 1'
_symmetry_Int_Tables_number 14
_symmetry_space_group_name_Hall '-P 2ybc'
_cell_length_a 7.123
_cell_length_b 12.820
_cell_length_c 13.657
_cell_angle_alpha 90.00
_cell_angle_beta 93.51
_cell_angle_gamma 90.00
loop_
_atom_site_label
_atom_site_fract_x
_atom_site_fract_y
_atom_site_fract_z
_atom_site_occupancy
K1 0.191 0.223 0.479 1
Sm1 0.213 0.536 0.261 1
Sm2 0.289 0.659 0.757 1
Cl1 0.009 0.709 0.321 1
Cl2 0.032 0.567 0.623 1
Cl3 0.087 0.521 0.868 1
Cl4 0.242 0.687 0.113 1
Cl5 0.428 0.063 0.626 1
Cl6 0.446 0.100 0.871 1
Cl7 0.486 0.672 0.336 1
```

Values from the calculation:
**Magnetization**: 0.000 μB per cell

=====

#x
Compound: KSm2Cl7
Source: Alexandria
Functional: PBE-GGA
Structure: relaxed

Structure (CIF):
```
data_KSm2Cl7
_symmetry_space_group_name_H-M 'C m m m'
_symmetry_Int_Tables_number 65
_symmetry_space_group_name_Hall '-C 2 2'
_cell_length_a 8.658
_cell_length_b 13.875
_cell_length_c 5.406
_cell_angle_alpha 90.00
_cell_angle_beta 90.00
_cell_angle_gamma 90.00
loop_
_atom_site_label
_atom_site_fract_x
_atom_site_fract_y
_atom_site_fract_z
_atom_site_occupancy
K1 0.000 0.000 0.000 1
Sm1 0.000 0.303 0.500 1
Cl1 0.000 0.289 0.000 1
Cl2 0.000 0.500 0.500 1
Cl3 0.188 0.138 0.500 1
```

Values from the calculation:
**Magnetization**: 0.000 μB per cell

=====

Winner for stability: #w

=====

#w
Compound: KSmCl4
Source: Alexandria
Functional: PBE-GGA
Structure: relaxed

Structure (CIF):
```
data_KSmCl4
_symmetry_space_group_name_H-M 'P -1'
_symmetry_Int_Tables_number 2
_symmetry_space_group_name_Hall '-P 1'
_cell_length_a 6.842
_cell_length_b 7.608
_cell_length_c 8.858
_cell_angle_alpha 97.05
_cell_angle_beta 112.25
_cell_angle_gamma 90.02
loop_
_atom_site_label
_atom_site_fract_x
_atom_site_fract_y
_atom_site_fract_z
_atom_site_occupancy
K1 0.223 0.247 0.495 1
Sm1 0.000 0.500 0.000 1
Sm2 0.500 0.000 0.000 1
Cl1 0.038 0.572 0.311 1
Cl2 0.218 0.201 0.095 1
Cl3 0.235 0.928 0.688 1
Cl4 0.374 0.702 0.095 1
```

Values from the calculation:
**Magnetization**: 0.000 μB per cell

=====

#x
Compound: KSmCl4
Source: Alexandria
Functional: PBE-GGA
Structure: relaxed

Structure (CIF):
```
data_KSmCl4
_symmetry_space_group_name_H-M 'C m c 21'
_symmetry_Int_Tables_number 36
_symmetry_space_group_name_Hall 'C 2c -2'
_cell_length_a 5.440
_cell_length_b 20.964
_cell_length_c 7.385
_cell_angle_alpha 90.00
_cell_angle_beta 90.00
_cell_angle_gamma 90.00
loop_
_atom_site_label
_atom_site_fract_x
_atom_site_fract_y
_atom_site_fract_z
_atom_site_occupancy
K1 0.000 0.187 0.000 1
Sm1 0.000 0.410 0.055 1
Cl1 0.000 0.089 0.582 1
Cl2 0.000 0.306 0.265 1
Cl3 0.000 0.336 0.766 1
Cl4 0.000 0.475 0.384 1
```

Values from the calculation:
**Magnetization**: 0.000 μB per cell

=====

Winner for stability: #x

=====

#w
Compound: K2SnCl4
Source: Alexandria
Functional: PBE-GGA
Structure: relaxed

Structure (CIF):
```
data_K2SnCl4
_symmetry_space_group_name_H-M 'I 4/m m m'
_symmetry_Int_Tables_number 139
_symmetry_space_group_name_Hall '-I 4 2'
_cell_length_a 5.567
_cell_length_b 5.567
_cell_length_c 16.123
_cell_angle_alpha 90.00
_cell_angle_beta 90.00
_cell_angle_gamma 90.00
loop_
_atom_site_label
_atom_site_fract_x
_atom_site_fract_y
_atom_site_fract_z
_atom_site_occupancy
K1 0.000 0.000 0.139 1
Sn1 0.000 0.000 0.500 1
Cl1 0.000 0.000 0.326 1
Cl2 0.000 0.500 0.000 1
```

Values from the calculation:
**Magnetization**: 0.000 μB per cell

=====

#x
Compound: K2SnCl4
Source: Alexandria
Functional: PBE-GGA
Structure: relaxed

Structure (CIF):
```
data_K2SnCl4
_symmetry_space_group_name_H-M 'C 1 2/m 1'
_symmetry_Int_Tables_number 12
_symmetry_space_group_name_Hall '-C 2y'
_cell_length_a 14.301
_cell_length_b 4.191
_cell_length_c 8.743
_cell_angle_alpha 90.00
_cell_angle_beta 121.18
_cell_angle_gamma 90.00
loop_
_atom_site_label
_atom_site_fract_x
_atom_site_fract_y
_atom_site_fract_z
_atom_site_occupancy
K1 0.144 0.000 0.188 1
Sn1 0.000 0.500 0.500 1
Cl1 0.048 0.500 0.854 1
Cl2 0.161 0.000 0.579 1
```

Values from the calculation:
**Magnetization**: 0.000 μB per cell

=====

Winner for stability: #x

=====

#w
Compound: K2Sn5Cl12
Source: Alexandria
Functional: PBE-GGA
Structure: relaxed

Structure (CIF):
```
data_K2Sn5Cl12
_symmetry_space_group_name_H-M 'C 1 2/m 1'
_symmetry_Int_Tables_number 12
_symmetry_space_group_name_Hall '-C 2y'
_cell_length_a 15.938
_cell_length_b 8.826
_cell_length_c 9.763
_cell_angle_alpha 90.00
_cell_angle_beta 111.05
_cell_angle_gamma 90.00
loop_
_atom_site_label
_atom_site_fract_x
_atom_site_fract_y
_atom_site_fract_z
_atom_site_occupancy
K1 0.000 0.232 0.000 1
Sn1 0.000 0.000 0.500 1
Sn2 0.157 0.500 0.381 1
Sn3 0.240 0.500 0.982 1
Cl1 0.008 0.500 0.800 1
Cl2 0.089 0.000 0.839 1
Cl3 0.118 0.226 0.473 1
Cl4 0.203 0.298 0.149 1
```

Values from the calculation:
**Magnetization**: 0.000 μB per cell

=====

#x
Compound: K2Sn5Cl12
Source: Alexandria
Functional: PBE-GGA
Structure: relaxed

Structure (CIF):
```
data_K2Sn5Cl12
_symmetry_space_group_name_H-M 'P 1 m 1'
_symmetry_Int_Tables_number 6
_symmetry_space_group_name_Hall 'P -2y'
_cell_length_a 12.051
_cell_length_b 9.681
_cell_length_c 12.653
_cell_angle_alpha 90.00
_cell_angle_beta 111.89
_cell_angle_gamma 90.00
loop_
_atom_site_label
_atom_site_fract_x
_atom_site_fract_y
_atom_site_fract_z
_atom_site_occupancy
K1 0.000 0.000 0.000 1
K2 0.056 0.500 0.213 1
K3 0.647 0.500 0.349 1
K4 0.940 0.000 0.344 1
Sn1 0.018 0.500 0.826 1
Sn2 0.271 0.000 0.807 1
Sn3 0.387 0.500 0.929 1
Sn4 0.390 0.217 0.477 1
Sn5 0.476 0.000 0.227 1
Sn6 0.708 0.276 0.983 1
Sn7 0.810 0.211 0.609 1
Cl1 0.006 0.213 0.814 1
Cl2 0.174 0.500 0.028 1
Cl3 0.186 0.310 0.425 1
Cl4 0.200 0.500 0.743 1
Cl5 0.279 0.000 0.352 1
Cl6 0.371 0.000 0.662 1
Cl7 0.405 0.193 0.937 1
Cl8 0.428 0.286 0.288 1
Cl9 0.515 0.500 0.806 1
Cl10 0.606 0.000 0.444 1
Cl11 0.663 0.000 0.181 1
Cl12 0.673 0.500 0.116 1
Cl13 0.728 0.000 0.888 1
Cl14 0.737 0.500 0.620 1
Cl15 0.833 0.500 0.940 1
Cl16 0.868 0.301 0.451 1
Cl17 0.914 0.218 0.139 1
Cl18 0.950 0.000 0.590 1
```

Values from the calculation:
**Magnetization**: 0.000 μB per cell

=====

Winner for stability: #w